Entry 1:
DFT (PBE) results for an optimized crystal structure of CuSiOs.

crystal system	cubic
M_tot	0.000	μB/atom
Fermi-level density of states	2.0	states/eV/f.u.
relative energy among the computed polymorphs	0	meV/atom
formation energy (no corrections)	-0.05	kcal/mol of atoms

Unit cell a=5.566 b=5.566 c=5.566 alpha=90.00 beta=90.00 gamma=90.00
Space group F-43m (No. 216)
Unique sites:
Cu: 0.000 0.000 0.000
Si: 0.250 0.250 0.250
Os: 0.000 0.000 0.500

---

Entry 2:
DFT (PBE) results for an optimized crystal structure of Th2Ga12Ir.

crystal system	tetragonal
M_tot	0.000	μB/atom
Fermi-level density of states	5.7	states/eV/f.u.
DFT formation energy	-403	meV/atom

Unit cell a=6.149 b=6.149 c=15.510 alpha=90.00 beta=90.00 gamma=90.00
Space group P4/nbm (No. 125, origin choice 2)
Unique sites:
Th: 0.250 0.750 0.241
Ga: 0.000 0.000 0.087
Ga: 0.082 0.582 0.430
Ga: 0.250 0.250 0.188
Ga: 0.250 0.250 0.345
Ir: 0.250 0.750 0.000

---

Entry 3:
DFT (PBE) results for an optimized crystal structure of ScSbH2.

crystal system	orthorhombic
M_tot	0.000	μB/atom
Fermi-level density of states	2.0	states/eV/f.u.
relative energy among the computed polymorphs	318	meV/atom

Unit cell a=3.874 b=5.336 c=5.198 alpha=90.00 beta=90.00 gamma=90.00
Space group Amm2 (No. 38)
Unique sites:
Sc: 0.000 0.000 0.000
Sb: 0.500 0.000 0.496
H: 0.000 0.190 0.685